[1]
A plane-wave DFT calculation with PBE-GGA was carried out for Ba2MgRh after structural relaxation.

Properties
**Uncorrected energy**: -13.060 eV for the cell shown
**E_form**: -1.55 kcal/mol of atoms
**DOS(E_F)**: 3.99 states/eV/f.u.
**Theoretical density**: 4.998 g cm⁻³

abc: 6.990 6.990 6.990
angles: 147.93 132.08 58.83
Fractional coordinates of all 4 atoms:
Ba1 0.058 0.058 0.000
Ba2 0.748 0.248 0.500
Mg1 0.422 0.422 0.000
Rh1 0.272 0.772 0.500

[2]
A plane-wave DFT calculation with PBE-GGA was carried out for BaMg2Rh after structural relaxation.

Properties
**Uncorrected energy**: -13.406 eV for the cell shown
**E_form**: -5.43 kcal/mol of atoms
**DOS(E_F)**: 2.34 states/eV/f.u.
**Theoretical density**: 4.260 g cm⁻³

abc: 4.691 4.691 6.491
angles: 68.86 68.86 60.13
Fractional coordinates of all 4 atoms:
Mg1 0.052 0.052 0.843
Mg2 0.770 0.770 0.690
Rh1 0.431 0.431 0.705
Ba1 0.247 0.247 0.262

[3]
A plane-wave DFT calculation with PBE-GGA was carried out for BaMg2Rh after structural relaxation.

Properties
**Uncorrected energy**: -109.238 eV for the cell shown
**E_form**: -6.87 kcal/mol of atoms
**DOS(E_F)**: 1.95 states/eV/f.u.
**Theoretical density**: 4.615 g cm⁻³

abc: 6.301 7.920 16.664
angles: 90.00 90.00 90.00
Fractional coordinates of all 32 atoms:
Ba1 0.469 0.250 0.135
Ba2 0.969 0.750 0.365
Ba3 0.531 0.750 0.865
Ba4 0.031 0.250 0.635
Ba5 0.800 0.250 0.400
Ba6 0.300 0.750 0.100
Ba7 0.200 0.750 0.600
Ba8 0.700 0.250 0.900
Mg1 0.975 0.057 0.209
Mg2 0.475 0.943 0.291
Mg3 0.025 0.557 0.791
Mg4 0.525 0.443 0.709
Mg5 0.025 0.943 0.791
Mg6 0.525 0.057 0.709
Mg7 0.975 0.443 0.209
Mg8 0.475 0.557 0.291
Mg9 0.816 0.564 0.051
Mg10 0.316 0.436 0.449
Mg11 0.184 0.064 0.949
Mg12 0.684 0.936 0.551
Mg13 0.184 0.436 0.949
Mg14 0.684 0.564 0.551
Mg15 0.816 0.936 0.051
Mg16 0.316 0.064 0.449
Rh1 0.239 0.250 0.308
Rh2 0.739 0.750 0.192
Rh3 0.761 0.750 0.692
Rh4 0.261 0.250 0.808
Rh5 0.997 0.250 0.070
Rh6 0.497 0.750 0.430
Rh7 0.003 0.750 0.930
Rh8 0.503 0.250 0.570

[4]
A plane-wave DFT calculation with PBE-GGA was carried out for BaMg2Rh after structural relaxation.

Properties
**Uncorrected energy**: -13.035 eV for the cell shown
**E_form**: -3.30 kcal/mol of atoms
**DOS(E_F)**: 1.98 states/eV/f.u.
**Theoretical density**: 4.376 g cm⁻³

abc: 8.004 8.004 8.004
angles: 156.07 148.13 40.25
Fractional coordinates of all 4 atoms:
Ba1 0.327 0.827 0.500
Mg1 0.014 0.014 0.000
Mg2 0.650 0.150 0.500
Rh1 0.510 0.510 0.000

[5]
A plane-wave DFT calculation with PBE-GGA was carried out for BaMg2Rh after structural relaxation.

Properties
**Uncorrected energy**: -12.002 eV for the cell shown
**E_form**: 2.66 kcal/mol of atoms
**DOS(E_F)**: 3.12 states/eV/f.u.
**Theoretical density**: 4.931 g cm⁻³

abc: 5.162 5.162 5.162
angles: 60.00 60.00 60.00
Fractional coordinates of all 4 atoms:
Mg1 0.250 0.250 0.250
Mg2 0.750 0.750 0.750
Rh1 0.000 0.000 0.000
Ba1 0.500 0.500 0.500

[6]
A plane-wave DFT calculation with PBE-GGA was carried out for Ba2MgRh after structural relaxation.

Properties
**Uncorrected energy**: -13.310 eV for the cell shown
**E_form**: -2.99 kcal/mol of atoms
**DOS(E_F)**: 3.19 states/eV/f.u.
**Theoretical density**: 4.614 g cm⁻³

abc: 4.745 4.823 6.767
angles: 69.06 90.00 90.00
Fractional coordinates of all 4 atoms:
Ba1 0.000 0.983 0.909
Ba2 0.500 0.259 0.356
Mg1 0.000 0.675 0.525
Rh1 0.500 0.583 0.710

What did the second record say?
A plane-wave DFT calculation with PBE-GGA was carried out for BaMg2Rh after structural relaxation.

Properties
**Uncorrected energy**: -13.406 eV for the cell shown
**E_form**: -5.43 kcal/mol of atoms
**DOS(E_F)**: 2.34 states/eV/f.u.
**Theoretical density**: 4.260 g cm⁻³

abc: 4.691 4.691 6.491
angles: 68.86 68.86 60.13
Fractional coordinates of all 4 atoms:
Mg1 0.052 0.052 0.843
Mg2 0.770 0.770 0.690
Rh1 0.431 0.431 0.705
Ba1 0.247 0.247 0.262

- Which of these has the lowest E_form?
  number 3